A PBEsol-optimized structure of Cu9Se5, computed with meta-GGA SCAN.

Cell lengths 12.7347, 5.4555, 9.0039 Å; angles 90.00, 134.79, 90.00 degrees
Space group C2 (No. 5)
Inequivalent atoms, fractional coordinates:
Cu (0.0000, 0.0000, 0.0000) x2
Cu (0.0987, 0.9914, 0.8127) x4
Cu (0.1295, 0.4831, 0.8127) x4
Cu (0.1820, 0.0087, 0.5557) x4
Cu (0.2177, 0.5016, 0.6200) x4
Se (0.0000, 0.7431, 0.5000) x2
Se (0.0886, 0.2839, 0.2797) x4
Se (0.1882, 0.7091, 0.1000) x4

Calculated values
raw formation energy: -0.06 eV/atom
E: -17.007 eV/atom
DOS(E_F): 11.763 states/eV per cell